Material: SrOs2Pt
Method: DFT, GGA-PBE
State: optimized geometry

Calculated formation energy   0.68 eV per atom
VASP energy   -0.504 Ry/atom
Energy above the lowest structure with this stoichiometry   161 kJ/mol of formula units

a b c (Å): 3.642 5.154 8.844
angles (deg): 90.00 90.00 90.00
Space group Imm2 (No. 44)
Asymmetric unit:
1 Sr 0.000 0.000 0.000 [2 per cell]
2 Os 0.000 0.000 0.484 [2 per cell]
3 Os 0.000 0.500 0.810 [2 per cell]
4 Pt 0.000 0.500 0.202 [2 per cell]

***

Material: KLiNiCl4
Method: DFT, GGA-PBE
State: optimized geometry

VASP energy   -0.262 Ry/atom

a b c (Å): 6.224 7.541 8.304
angles (deg): 90.00 102.44 90.00
Space group P2_1/m (No. 11)
Asymmetric unit:
1 K 0.216 0.250 0.092 [2 per cell]
2 Li 0.306 0.250 0.672 [2 per cell]
3 Ni 0.198 0.750 0.332 [2 per cell]
4 Cl 0.055 0.032 0.736 [4 per cell]
5 Cl 0.368 0.750 0.114 [2 per cell]
6 Cl 0.494 0.750 0.538 [2 per cell]

***

Q: Which of these has the lowest VASP energy?
A: SrOs2Pt

***

Q: Among the records above, which one has the lowest VASP energy?
A: SrOs2Pt